{
  "formula": "TaHIr2Os",
  "functional": "PBE-GGA",
  "state": "relaxed",
  "dft_energy_ev_per_atom": -8.02,
  "volume_a3_per_cell": 75,
  "space_group": "No. 123",
  "crystal_system": "tetragonal",
  "lattice_angstrom": [[4.922, 0.000, 0.000], [0.000, 3.083, 0.000], [0.000, 0.000, 4.922]],
  "species": ["H", "Ir", "Ir", "Os", "Ta"],
  "frac_coords": [[0.000, 0.500, 0.000], [0.000, 0.000, 0.500], [0.500, 0.000, 0.000], [0.000, 0.000, 0.000], [0.500, 0.500, 0.500]]
}